1.
Compound: Mn2ReAg
Source: Alexandria
Functional: meta-GGA SCAN
Structure: PBEsol geometry

Structure (POSCAR):
```
Mn2ReAg
1.0
-1.9517 -1.8137 0.7958
-0.6874 -0.4275 -2.6602
4.8266 -5.3630 -0.3852
Re Mn Ag
1 2 1
Cartesian
-1.3196 -1.1206 -0.9322
1.1008 -1.2231 -0.0879
3.7258 -4.1399 -0.2974
1.0937 -3.8021 -1.1248
```

## Properties
- Electronic total energy: -138.7 eV/cell
- Calculated formation energy: 0.057 eV/atom
- Total magnetic moment: 6.4 μB per formula unit
- ΔE to the lowest computed polymorph: 0.0 meV/atom

2.
Compound: MnAg2Rh
Source: Alexandria
Functional: meta-GGA SCAN
Structure: PBEsol geometry

Structure (POSCAR):
```
MnAg2Rh
1.0
-2.4816 0.1679 -1.1838
-0.9906 -2.1350 -1.4312
-4.9985 -3.9573 6.7120
Mn Rh Ag
1 1 2
Cartesian
-4.2353 -2.9622 2.0485
0.0000 0.0000 0.0000
-2.1281 -1.4901 1.0448
-6.3425 -4.4343 3.0522
```

## Properties
- Electronic total energy: -114.1 eV/cell
- Calculated formation energy: 0.159 eV/atom
- Total magnetic moment: 3.9 μB per formula unit
- ΔE to the lowest computed polymorph: 184.1 meV/atom

3.
Compound: MnAg2Rh
Source: Alexandria
Functional: meta-GGA SCAN
Structure: PBEsol geometry

Structure (POSCAR):
```
MnAg2Rh
1.0
2.7691 -0.0002 0.0000
-0.2998 4.6709 0.0000
-1.2347 -2.3354 4.7094
Ag Mn Rh
2 1 1
Cartesian
0.6173 1.1677 2.3547
-0.6173 -1.1677 2.3547
1.3845 -0.0001 0.0000
-0.1499 2.3355 0.0000
```

## Properties
- Electronic total energy: -114.5 eV/cell
- Calculated formation energy: 0.053 eV/atom
- Total magnetic moment: 4.8 μB per formula unit
- ΔE to the lowest computed polymorph: 77.6 meV/atom

4.
Compound: MnAg2Rh
Source: Alexandria
Functional: meta-GGA SCAN
Structure: PBEsol geometry

Structure (POSCAR):
```
MnAg2Rh
1.0
4.4056 0.0000 0.0000
2.2028 3.8154 0.0000
2.2028 1.2718 3.5972
Ag Rh Mn
2 1 1
Cartesian
0.0000 0.0000 0.0000
6.6084 3.8154 2.6979
2.2028 1.2718 0.8993
4.4056 2.5436 1.7986
```

## Properties
- Electronic total energy: -114.9 eV/cell
- Calculated formation energy: -0.025 eV/atom
- Total magnetic moment: 4.6 μB per formula unit
- ΔE to the lowest computed polymorph: 0.0 meV/atom

5.
Compound: MnAg2Rh
Source: Alexandria
Functional: meta-GGA SCAN
Structure: PBEsol geometry

Structure (POSCAR):
```
MnAg2Rh
1.0
3.3190 0.0000 0.0000
0.0000 3.3190 0.0000
0.0000 0.0000 5.5399
Rh Ag Mn
1 2 1
Cartesian
1.6595 1.6595 2.7700
0.0000 0.0000 4.1708
0.0000 0.0000 1.3691
1.6595 1.6595 0.0000
```

## Properties
- Electronic total energy: -114.4 eV/cell
- Calculated formation energy: 0.100 eV/atom
- Total magnetic moment: 4.5 μB per formula unit
- ΔE to the lowest computed polymorph: 124.8 meV/atom

6.
Compound: MnAg2Ru
Source: Alexandria
Functional: meta-GGA SCAN
Structure: PBEsol geometry

Structure (POSCAR):
```
MnAg2Ru
1.0
-0.4304 -1.1340 -2.3573
-3.0834 -2.8352 2.4311
-1.7273 5.0534 -0.8771
Ag Mn Ru
2 1 1
Cartesian
-0.8636 2.5267 -0.4385
-2.6205 0.5421 -0.4016
-0.2152 -0.5670 -1.1786
-1.5417 -1.4176 1.2155
```

## Properties
- Electronic total energy: -114.7 eV/cell
- Calculated formation energy: 0.290 eV/atom
- Total magnetic moment: 4.3 μB per formula unit
- ΔE to the lowest computed polymorph: 102.3 meV/atom

7.
Compound: MnAgRu2
Source: Alexandria
Functional: meta-GGA SCAN
Structure: PBEsol geometry

Structure (POSCAR):
```
MnAgRu2
1.0
2.7515 0.0000 0.0000
0.0000 4.4211 0.0000
-1.3758 -2.2105 4.6042
Ag Mn Ru
1 1 2
Cartesian
0.0000 2.2105 0.0000
1.3758 0.0000 0.0000
0.0000 0.0000 2.0282
1.3758 2.2105 2.5759
```

## Properties
- Electronic total energy: -118.3 eV/cell
- Calculated formation energy: 0.252 eV/atom
- Total magnetic moment: 2.8 μB per formula unit
- ΔE to the lowest computed polymorph: 117.4 meV/atom

8.
Compound: MnAg2Ru
Source: Alexandria
Functional: meta-GGA SCAN
Structure: PBEsol geometry

Structure (POSCAR):
```
MnAg2Ru
1.0
-1.5962 -0.0481 2.1790
1.7427 -2.0602 -0.1298
6.0443 4.8272 4.5344
Ag Mn Ru
2 1 1
Cartesian
0.0362 0.0289 0.0271
4.5275 2.5032 4.3661
2.9291 2.3393 2.1974
1.7202 0.2612 2.2602
```

## Properties
- Electronic total energy: -115.1 eV/cell
- Calculated formation energy: 0.188 eV/atom
- Total magnetic moment: 3.5 μB per formula unit
- ΔE to the lowest computed polymorph: 0.0 meV/atom

Question: Which of these has the lowest calculated formation energy?
Answer: number 4

Question: What is the total magnetic moment in the first record?
Answer: 6.4 μB per formula unit

What did the fifth record say?
Compound: MnAg2Rh
Source: Alexandria
Functional: meta-GGA SCAN
Structure: PBEsol geometry

Structure (POSCAR):
```
MnAg2Rh
1.0
3.3190 0.0000 0.0000
0.0000 3.3190 0.0000
0.0000 0.0000 5.5399
Rh Ag Mn
1 2 1
Cartesian
1.6595 1.6595 2.7700
0.0000 0.0000 4.1708
0.0000 0.0000 1.3691
1.6595 1.6595 0.0000
```

## Properties
- Electronic total energy: -114.4 eV/cell
- Calculated formation energy: 0.100 eV/atom
- Total magnetic moment: 4.5 μB per formula unit
- ΔE to the lowest computed polymorph: 124.8 meV/atom

Question: Look up the ΔE to the lowest computed polymorph of the second one.
Answer: 184.1 meV/atom